First-principles (GGA-PBEsol) data for CrRuPt3 after structural relaxation, as listed in Alexandria.

Lattice parameters (Å, degrees): 4.4531 4.4531 4.4531 90.00 90.00 90.00
Space group Pm-3m (No. 221)
One atom of each set of equivalent atoms:
Cr (0.0000, 0.0000, 0.0000)
Ru (0.5000, 0.5000, 0.5000)
Pt (0.0000, 0.0000, 0.5000)

Output
E_form ... 1456.2 meV per atom
Electronic total energy ... -34.02 eV for the cell shown
Density of states at the Fermi level ... 1.454 states/eV per atom